PBE La6OsAu2Br3, optimized geometry; energy relative to the elements, uncorrected = -12.2 eV/f.u.; magnetic moment = 0.000 μB/atom
1.0
9.992 -2.154 0.000
9.992 2.154 0.000
-3.138 0.000 8.794
La Os Au Br
6 1 2 3
Cartesian
-0.536 0.000 1.851
5.222 0.000 3.786
4.217 0.000 7.938
12.628 0.000 0.856
11.623 0.000 5.007
17.382 0.000 6.943
9.992 0.000 0.000
2.318 0.000 3.010
14.528 0.000 5.784
0.742 0.000 7.329
8.423 0.000 4.397
16.103 0.000 1.465